The following is a DFT calculation (PBE-GGA) of a relaxed Gd2CoPt crystal.

Results
**Energy relative to the lowest polymorph listed for this composition**: 0.0 meV/atom
**Energy of formation**: -0.64 eV/atom

Unit cell a=3.4468 b=3.4468 c=6.9529 alpha=90.00 beta=90.00 gamma=90.00
With the nearest neighbours (Å) after each atom.
Space group P4/mmm (No. 123)
One atom of each set of equivalent atoms:
1 Gd 0.0000 0.0000 0.2420  4 Co 2.96, 4 Pt 3.03
2 Co 0.5000 0.5000 0.0000  8 Gd 2.96
3 Pt 0.5000 0.5000 0.5000  8 Gd 3.03

***

The following is a DFT calculation (PBE-GGA) of a relaxed Mn2FeSi crystal.

Results
**ΔE_f (raw)**: -0.24 eV per atom

Unit cell a=2.9341 b=3.8567 c=7.8087 alpha=90.00 beta=90.00 gamma=90.00
With the nearest neighbours (Å) after each atom.
Space group Imm2 (No. 44)
One atom of each set of equivalent atoms:
1 Mn 0.0000 0.0000 0.0000  4 Si 2.42, 2 Mn 2.45, 2 Fe 2.47
2 Mn 0.0000 0.5000 0.2491  4 Fe 2.42, 2 Si 2.45, 2 Mn 2.45
3 Fe 0.0000 0.5000 0.7552  2 Si 2.40, 6 Mn 2.42-2.47
4 Si 0.0000 0.0000 0.4986  2 Fe 2.40, 6 Mn 2.42-2.45

***

The following is a DFT calculation (PBE-GGA) of a relaxed DyY2Al2 crystal.

Results
**Energy relative to the lowest polymorph listed for this composition**: 186.6 meV/atom
**Energy of formation**: -0.15 eV/atom

Unit cell a=5.6137 b=3.6363 c=13.3310 alpha=90.00 beta=96.05 gamma=90.00
With the nearest neighbours (Å) after each atom.
Space group P2_1/m (No. 11)
One atom of each set of equivalent atoms:
1 Dy 0.1780 0.2500 0.2328  2 Al 3.11
2 Y 0.2402 0.7500 0.4602  4 Al 3.20-3.23, 4 Y 3.51, 2 Dy 3.52
3 Y 0.3486 0.2500 0.8881  5 Al 2.88-3.05
4 Al 0.1481 0.7500 0.0423  2 Al 2.64, 1 Y 2.88
5 Al 0.2913 0.2500 0.6585  5 Y 3.04-3.23

***

The following is a DFT calculation (PBE-GGA) of a relaxed KCrSe2 crystal.

Results
**ΔE_f (raw)**: -0.72 eV per atom

Unit cell a=7.8890 b=12.5914 c=17.1525 alpha=90.00 beta=101.47 gamma=90.00
With the nearest neighbours (Å) after each atom.
Space group C2/c (No. 15)
One atom of each set of equivalent atoms:
1 K 0.0787 0.1262 0.4031  7 Se 3.30-3.45, 1 K 3.68
2 K 0.1746 0.3767 0.0897  7 Se 3.26-3.50
3 Cr 0.0339 0.3823 0.8349  5 Se 2.45-2.60
4 Cr 0.2000 0.1312 0.6761  5 Se 2.44-2.63
5 Se 0.0000 0.0492 0.7500  2 Cr 2.44
6 Se 0.0000 0.4451 0.2500  4 Cr 2.60-2.63
7 Se 0.0279 0.2473 0.5714  2 Cr 2.45-2.50
8 Se 0.2294 0.4955 0.4258  2 Cr 2.49-2.51
9 Se 0.2333 0.3041 0.7545  3 Cr 2.49-2.55

***

The following is a DFT calculation (PBE-GGA) of a relaxed InCuTe2 crystal.

Results
**ΔE_f (raw)**: 0.02 eV per atom

Unit cell a=4.0128 b=6.6003 c=8.4588 alpha=90.00 beta=90.00 gamma=90.00
With the nearest neighbours (Å) after each atom.
Space group Immm (No. 71)
One atom of each set of equivalent atoms:
1 In 0.0000 0.0000 0.0000  4 Te 3.28
2 Cu 0.0000 0.0000 0.5000  4 Te 2.59
3 Te 0.0000 0.5000 0.1928  2 Cu 2.59